(1)
Entry from Alexandria: Dy6TlIn5 after structural relaxation (PBE).

Cell lengths 9.951, 6.406, 6.391 Å; angles 59.92, 83.91, 77.77 degrees
Atoms (fractional coordinates):
1 Dy 0.749 0.084 0.334
2 Dy 0.251 0.582 0.334
3 Dy 0.250 0.252 0.000
4 Dy 0.750 0.748 0.000
5 Dy 0.749 0.418 0.666
6 Dy 0.251 0.916 0.666
7 Tl 0.000 0.000 0.000
8 In 0.500 0.166 0.668
9 In 0.000 0.333 0.334
10 In 0.500 0.500 0.000
11 In 0.000 0.667 0.666
12 In 0.500 0.834 0.332

Computed properties:
Energy above the lowest structure with this stoichiometry ... 0.126 eV/atom
Space-group type ... No. 12

***

(2)
Entry from Alexandria: Dy6TlIn after structural relaxation (PBE).

Cell lengths 4.845, 4.845, 9.693 Å; angles 90.00, 90.00, 90.00 degrees
Atoms (fractional coordinates):
1 Dy 0.500 0.500 0.000
2 Dy 0.500 0.500 0.500
3 Dy 0.500 0.000 0.252
4 Dy 0.500 0.000 0.748
5 Dy 0.000 0.500 0.252
6 Dy 0.000 0.500 0.748
7 Tl 0.000 0.000 0.000
8 In 0.000 0.000 0.500

Computed properties:
Space-group type ... No. 123

***

(3)
Entry from Alexandria: Dy4Tl2In after structural relaxation (PBE).

Cell lengths 5.259, 5.259, 9.148 Å; angles 73.29, 73.29, 60.00 degrees
Atoms (fractional coordinates):
1 Tl 0.753 0.753 0.741
2 Tl 0.247 0.247 0.259
3 In 0.000 0.000 0.000
4 Dy 0.873 0.873 0.380
5 Dy 0.127 0.127 0.620
6 Dy 0.621 0.621 0.137
7 Dy 0.379 0.379 0.863

Computed properties:
Energy above the lowest structure with this stoichiometry ... 0.000 eV/atom
Space-group type ... No. 166

***

(4)
Entry from Alexandria: Dy2Tl5In after structural relaxation (PBE).

Cell lengths 4.718, 6.725, 13.445 Å; angles 90.00, 90.00, 90.00 degrees
Atoms (fractional coordinates):
1 Dy 0.500 0.254 0.375
2 Dy 0.500 0.746 0.625
3 Dy 0.500 0.246 0.875
4 Dy 0.500 0.754 0.125
5 Tl 0.500 0.257 0.124
6 Tl 0.500 0.743 0.876
7 Tl 0.500 0.757 0.376
8 Tl 0.500 0.243 0.624
9 Tl 0.000 0.994 0.749
10 Tl 0.000 0.006 0.251
11 Tl 0.000 0.494 0.751
12 Tl 0.000 0.506 0.249
13 Tl 0.000 0.500 0.500
14 Tl 0.000 0.000 0.000
15 In 0.000 0.000 0.500
16 In 0.000 0.500 0.000

Computed properties:
Space-group type ... No. 55

***

(5)
Entry from Alexandria: Dy8Tl2In after structural relaxation (PBE).

Cell lengths 5.537, 8.642, 8.642 Å; angles 118.45, 101.70, 101.70 degrees
Atoms (fractional coordinates):
1 Dy 0.885 0.903 0.675
2 Dy 0.885 0.675 0.903
3 Dy 0.300 0.602 0.602
4 Dy 0.500 0.783 0.217
5 Dy 0.500 0.217 0.783
6 Dy 0.700 0.398 0.398
7 Dy 0.115 0.325 0.097
8 Dy 0.115 0.097 0.325
9 Tl 0.000 0.305 0.695
10 Tl 0.000 0.695 0.305
11 In 0.500 0.000 0.000

Computed properties:
Energy above the lowest structure with this stoichiometry ... 0.114 eV/atom
Space-group type ... No. 12

***

(6)
Entry from Alexandria: Dy5TlIn3 after structural relaxation (PBE).

Cell lengths 6.660, 9.323, 9.323 Å; angles 120.00, 90.00, 90.00 degrees
Atoms (fractional coordinates):
1 Dy 0.000 0.667 0.333
2 Dy 0.500 0.333 0.667
3 Dy 0.000 0.333 0.667
4 Dy 0.500 0.667 0.333
5 Dy 0.750 0.708 0.708
6 Dy 0.750 0.000 0.292
7 Dy 0.750 0.292 0.000
8 Dy 0.250 0.292 0.292
9 Dy 0.250 0.000 0.708
10 Dy 0.250 0.708 0.000
11 Tl 0.000 0.000 0.000
12 Tl 0.500 0.000 0.000
13 In 0.750 0.372 0.372
14 In 0.750 0.000 0.628
15 In 0.750 0.628 0.000
16 In 0.250 0.628 0.628
17 In 0.250 0.000 0.372
18 In 0.250 0.372 0.000

Computed properties:
Space-group type ... No. 193

***

(7)
Entry from Alexandria: Dy11Tl4In9 after structural relaxation (PBE).

Cell lengths 3.611, 13.870, 13.870 Å; angles 111.55, 90.00, 90.00 degrees
Atoms (fractional coordinates):
1 Dy 0.000 0.598 0.954
2 Dy 0.000 0.402 0.046
3 Dy 0.000 0.954 0.598
4 Dy 0.000 0.046 0.402
5 Dy 0.000 0.624 0.376
6 Dy 0.000 0.376 0.624
7 Dy 0.000 0.815 0.185
8 Dy 0.000 0.185 0.815
9 Dy 0.000 0.000 0.000
10 Dy 0.000 0.771 0.771
11 Dy 0.000 0.229 0.229
12 Tl 0.500 0.576 0.751
13 Tl 0.500 0.424 0.249
14 Tl 0.500 0.751 0.576
15 Tl 0.500 0.249 0.424
16 In 0.500 0.611 0.163
17 In 0.500 0.389 0.837
18 In 0.500 0.163 0.611
19 In 0.500 0.837 0.389
20 In 0.500 0.801 0.984
21 In 0.500 0.199 0.016
22 In 0.500 0.984 0.801
23 In 0.500 0.016 0.199
24 In 0.500 0.500 0.500

Computed properties:
Space-group type ... No. 65

***

(8)
Entry from Alexandria: Dy7Tl2In2 after structural relaxation (PBE).

Cell lengths 6.887, 7.755, 6.887 Å; angles 90.00, 109.11, 90.00 degrees
Atoms (fractional coordinates):
1 Dy 0.000 0.288 0.500
2 Dy 0.500 0.712 0.000
3 Dy 0.000 0.712 0.500
4 Dy 0.500 0.288 0.000
5 Dy 0.000 0.000 0.000
6 Dy 0.500 0.733 0.500
7 Dy 0.500 0.267 0.500
8 Tl 0.708 0.000 0.292
9 Tl 0.292 0.000 0.708
10 In 0.823 0.500 0.823
11 In 0.177 0.500 0.177

Computed properties:
Space-group type ... No. 65

***

Number 1: formation energy from the elements -0.3191 eV per atom, ρ 8.5 g/cm³. Number 2: formation energy from the elements -0.2229 eV per atom, ρ 9.4 g/cm³. Number 3: formation energy from the elements -0.2307 eV per atom, ρ 9.4 g/cm³. Number 4: formation energy from the elements -0.2496 eV per atom, ρ 11.4 g/cm³. Number 5: formation energy from the elements -0.1011 eV per atom, ρ 9.1 g/cm³. Number 6: formation energy from the elements -0.4114 eV per atom, ρ 9.0 g/cm³. Number 7: formation energy from the elements -0.3855 eV per atom, ρ 9.4 g/cm³. Number 8: formation energy from the elements -0.0405 eV per atom, ρ 8.5 g/cm³.